Entry 1:
Cs8KAu4 | PBE | relaxed

```
data_Cs8KAu4
_cell_length_a 15.485
_cell_length_b 15.485
_cell_length_c 15.485
_cell_angle_alpha 90.00
_cell_angle_beta 90.00
_cell_angle_gamma 90.00
_symmetry_space_group_name_H-M 'F -4 3 m'
_symmetry_Int_Tables_number 216
_symmetry_space_group_name_Hall 'F -4 2 3'
loop_
_atom_site_label
_atom_site_type_symbol
_atom_site_fract_x
_atom_site_fract_y
_atom_site_fract_z
Cs1 Cs 0.103 0.103 0.103
Cs2 Cs 0.133 0.133 0.633
K1 K 0.250 0.250 0.250
Au1 Au 0.127 0.127 0.873
```

Values from the calculation:
* E_form: -2.158 eV per formula unit
* DOS at the Fermi energy: 28.6 states/eV/cell
* crystal system: cubic
* distance to the lowest polymorph of the same formula: 38 meV/atom



Entry 2:
La2NiAs4Rh3 | PBE | relaxed

```
data_La2NiAs4Rh3
_cell_length_a 4.355
_cell_length_b 4.355
_cell_length_c 9.868
_cell_angle_alpha 90.00
_cell_angle_beta 90.00
_cell_angle_gamma 90.00
_symmetry_space_group_name_H-M 'P -4 m 2'
_symmetry_Int_Tables_number 115
loop_
_symmetry_equiv_pos_as_xyz
'x,y,z'
'y,-x,-z'
'-x,-y,z'
'-y,x,-z'
'-x,y,z'
'-y,-x,-z'
'x,-y,z'
'y,x,-z'
loop_
_atom_site_label
_atom_site_type_symbol
_atom_site_fract_x
_atom_site_fract_y
_atom_site_fract_z
La1 La 0.000 0.500 0.248
Ni1 Ni 0.500 0.500 0.000
As1 As 0.000 0.000 0.500
As2 As 0.000 0.500 0.872
As3 As 0.500 0.500 0.500
Rh1 Rh 0.000 0.000 0.000
Rh2 Rh 0.000 0.500 0.621
```

Values from the calculation:
* E_form: -9.305 eV per formula unit
* DOS at the Fermi energy: 7.2 states/eV/cell
* crystal system: tetragonal



Entry 3:
Hf2PbN | PBE | relaxed

```
data_Hf2PbN
_cell_length_a 6.701
_cell_length_b 6.701
_cell_length_c 7.154
_cell_angle_alpha 90.00
_cell_angle_beta 90.00
_cell_angle_gamma 90.00
_symmetry_space_group_name_H-M 'I -4 2 d'
_symmetry_Int_Tables_number 122
_symmetry_space_group_name_Hall 'I -4 2bw'
loop_
_atom_site_label
_atom_site_type_symbol
_atom_site_fract_x
_atom_site_fract_y
_atom_site_fract_z
Hf1 Hf 0.133 0.250 0.125
Pb1 Pb 0.000 0.000 0.500
N1 N 0.000 0.000 0.000
```

Values from the calculation:
* DOS at the Fermi energy: 13.3 states/eV/cell
* ΔE_f (raw): -583 meV/atom
* crystal system: tetragonal



Entry 4:
Eu4Ge2H | PBE | relaxed

```
data_Eu4Ge2H
_cell_length_a 4.742
_cell_length_b 4.742
_cell_length_c 16.443
_cell_angle_alpha 90.00
_cell_angle_beta 90.00
_cell_angle_gamma 90.00
_symmetry_space_group_name_H-M 'I 4/m m m'
_symmetry_Int_Tables_number 139
_symmetry_space_group_name_Hall '-I 4 2'
loop_
_atom_site_label
_atom_site_type_symbol
_atom_site_fract_x
_atom_site_fract_y
_atom_site_fract_z
Eu1 Eu 0.000 0.000 0.181
Eu2 Eu 0.000 0.500 0.000
Ge1 Ge 0.000 0.000 0.370
H1 H 0.000 0.000 0.000
```

Values from the calculation:
* DOS at the Fermi energy: 50.4 states/eV/cell
* crystal system: tetragonal



Entry 5:
Zr2CrP | PBE | relaxed

```
data_Zr2CrP
_cell_length_a 3.385
_cell_length_b 3.385
_cell_length_c 5.968
_cell_angle_alpha 90.00
_cell_angle_beta 90.00
_cell_angle_gamma 90.00
_symmetry_space_group_name_H-M 'P 4/m m m'
_symmetry_Int_Tables_number 123
_symmetry_space_group_name_Hall '-P 4 2'
loop_
_atom_site_label
_atom_site_type_symbol
_atom_site_fract_x
_atom_site_fract_y
_atom_site_fract_z
Zr1 Zr 0.000 0.000 0.245
Cr1 Cr 0.500 0.500 0.500
P1 P 0.500 0.500 0.000
```

Values from the calculation:
* E_form: -1.693 eV per formula unit
* DOS at the Fermi energy: 2.2 states/eV/cell
* crystal system: tetragonal



Entry 6:
LiCeCl2 | PBE | relaxed

```
data_LiCeCl2
_cell_length_a 3.7577
_cell_length_b 3.7577
_cell_length_c 24.8963
_cell_angle_alpha 90.00
_cell_angle_beta 90.00
_cell_angle_gamma 120.00
_symmetry_space_group_name_H-M 'R -3 m'
_symmetry_Int_Tables_number 166
_symmetry_space_group_name_Hall '-R 3 2"'
loop_
_atom_site_label
_atom_site_type_symbol
_atom_site_fract_x
_atom_site_fract_y
_atom_site_fract_z
Li1 Li 0.0000 0.0000 0.0000
Ce1 Ce 0.0000 0.0000 0.5000
Cl1 Cl 0.0000 0.0000 0.3896
```

Values from the calculation:
* DOS at the Fermi energy: 19.9 states/eV/cell
* ΔE_f (raw): -1407 meV/atom
* crystal system: trigonal



Entry 7:
ErScCu2 | PBE | relaxed

```
data_ErScCu2
_cell_length_a 4.758
_cell_length_b 3.323
_cell_length_c 9.501
_cell_angle_alpha 90.00
_cell_angle_beta 90.00
_cell_angle_gamma 90.00
_symmetry_space_group_name_H-M 'P m m a'
_symmetry_Int_Tables_number 51
loop_
_symmetry_equiv_pos_as_xyz
'x,y,z'
'-x,-y,-z'
'-x+1/2,-y,z'
'x+1/2,y,-z'
'x+1/2,-y,-z'
'-x+1/2,y,z'
'-x,y,-z'
'x,-y,z'
loop_
_atom_site_label
_atom_site_type_symbol
_atom_site_fract_x
_atom_site_fract_y
_atom_site_fract_z
Er1 Er 0.250 0.000 0.128
Sc1 Sc 0.250 0.000 0.620
Cu1 Cu 0.250 0.500 0.383
Cu2 Cu 0.250 0.500 0.859
```

Values from the calculation:
* E_form: -1.065 eV per formula unit
* DOS at the Fermi energy: 4.1 states/eV/cell
* crystal system: orthorhombic
* distance to the lowest polymorph of the same formula: 3 meV/atom



Entry 8:
SmPu3Pa2N6 | PBE | relaxed

```
data_SmPu3Pa2N6
_cell_length_a 6.102
_cell_length_b 10.562
_cell_length_c 6.074
_cell_angle_alpha 90.00
_cell_angle_beta 109.58
_cell_angle_gamma 90.00
_symmetry_space_group_name_H-M 'C 1 2/m 1'
_symmetry_Int_Tables_number 12
loop_
_symmetry_equiv_pos_as_xyz
'x,y,z'
'-x,-y,-z'
'-x,y,-z'
'x,-y,z'
'x+1/2,y+1/2,z'
'-x+1/2,-y+1/2,-z'
'-x+1/2,y+1/2,-z'
'x+1/2,-y+1/2,z'
loop_
_atom_site_label
_atom_site_type_symbol
_atom_site_fract_x
_atom_site_fract_y
_atom_site_fract_z
Sm1 Sm 0.000 0.000 0.000
Pu1 Pu 0.000 0.164 0.500
Pu2 Pu 0.000 0.500 0.500
Pa1 Pa 0.000 0.333 0.000
N1 N 0.231 0.500 0.240
N2 N 0.245 0.326 0.758
```

Values from the calculation:
* DOS at the Fermi energy: 28.2 states/eV/cell
* ΔE_f (raw): -1445 meV/atom
* crystal system: monoclinic



| no. | total energy (eV per atom) |
| --- | --- |
| 1 | -1.78 |
| 2 | -6.56 |
| 3 | -8.57 |
| 4 | -8.21 |
| 5 | -8.46 |
| 6 | -4.29 |
| 7 | -5.04 |
| 8 | -11.17 |